No. 1
ZrTcB3 | PBE | relaxed

a = 3.550 Å, b = 18.757 Å, c = 3.071 Å
α = 90.00°, β = 90.00°, γ = 90.00°
Space group Cmcm (No. 63)
Symmetry-distinct sites (fractional):
1 Zr 0.000 0.074 0.250 (multiplicity 4)
2 Tc 0.000 0.204 0.750 (multiplicity 4)
3 B 0.000 0.324 0.750 (multiplicity 4)
4 B 0.000 0.375 0.250 (multiplicity 4)
5 B 0.000 0.476 0.250 (multiplicity 4)

Output
The calculation puts the spin magnetization at 0.000 μB/f.u. As for the relative energy among the computed polymorphs: 0 meV per atom. For the formation energy, the calculation gives -0.69 eV/atom. As for the density of states at the Fermi level: 10.32 states/eV/cell.

No. 2
Zr2TcB2 | PBE | relaxed

a = 6.274 Å, b = 6.274 Å, c = 3.435 Å
α = 90.00°, β = 90.00°, γ = 90.00°
Space group P4/mbm (No. 127)
Symmetry-distinct sites (fractional):
1 Zr 0.184 0.316 0.000 (multiplicity 4)
2 Tc 0.000 0.000 0.500 (multiplicity 2)
3 B 0.103 0.603 0.500 (multiplicity 4)

Output
The calculation puts the spin magnetization at 0.000 μB/f.u. For the formation energy, the calculation gives -0.71 eV/atom. As for the density of states at the Fermi level: 3.86 states/eV/cell.

No. 3
ZrTcB2 | PBE | relaxed

a = 5.737 Å, b = 5.737 Å, c = 5.737 Å
α = 90.00°, β = 90.00°, γ = 90.00°
Space group Fm-3m (No. 225)
Symmetry-distinct sites (fractional):
1 Zr 0.000 0.000 0.000 (multiplicity 4)
2 Tc 0.000 0.000 0.500 (multiplicity 4)
3 B 0.250 0.250 0.250 (multiplicity 8)

Output
The calculation puts the spin magnetization at 0.000 μB/f.u. As for the relative energy among the computed polymorphs: 399 meV per atom. For the formation energy, the calculation gives 0.03 eV/atom. As for the density of states at the Fermi level: 6.39 states/eV/cell.

No. 4
Zr3TcB7 | PBE | relaxed

a = 3.399 Å, b = 15.014 Å, c = 9.094 Å
α = 90.00°, β = 90.00°, γ = 90.00°
Space group Cmcm (No. 63)
Symmetry-distinct sites (fractional):
1 Zr 0.000 0.108 0.054 (multiplicity 8)
2 Zr 0.000 0.246 0.750 (multiplicity 4)
3 Tc 0.000 0.048 0.750 (multiplicity 4)
4 B 0.000 0.273 0.033 (multiplicity 8)
5 B 0.000 0.366 0.151 (multiplicity 8)
6 B 0.000 0.443 0.750 (multiplicity 4)
7 B 0.000 0.484 0.093 (multiplicity 8)

Output
The calculation puts the spin magnetization at 0.000 μB/f.u. For the formation energy, the calculation gives -0.82 eV/atom. As for the density of states at the Fermi level: 11.02 states/eV/cell.

No. 5
Zr3TcB | PBE | relaxed

a = 4.568 Å, b = 4.568 Å, c = 4.568 Å
α = 90.00°, β = 90.00°, γ = 90.00°
Space group Pm-3m (No. 221)
Symmetry-distinct sites (fractional):
1 Zr 0.000 0.000 0.500 (multiplicity 3)
2 Tc 0.500 0.500 0.500 (multiplicity 1)
3 B 0.000 0.000 0.000 (multiplicity 1)

Output
The calculation puts the spin magnetization at 0.000 μB/f.u. As for the relative energy among the computed polymorphs: 0 meV per atom. For the formation energy, the calculation gives 0.09 eV/atom. As for the density of states at the Fermi level: 4.93 states/eV/cell.

No. 6
BTe | PBE | relaxed

a = 6.015 Å, b = 11.550 Å, c = 11.742 Å
α = 90.00°, β = 90.00°, γ = 90.00°
Space group Fddd (No. 70, origin choice 2)
Symmetry-distinct sites (fractional):
1 B 0.125 0.125 0.265 (multiplicity 16)
2 Te 0.125 0.276 0.125 (multiplicity 16)

Output
The calculation puts the spin magnetization at 0.000 μB/f.u. Its raw formation energy is 1084 meV/atom. As for the relative energy among the computed polymorphs: 229 meV per atom. As for the density of states at the Fermi level: 12.96 states/eV/cell.